1.
5
Lattice="-2.5662 2.5662 8.5094 2.5662 -2.5662 8.5094 2.5662 2.5662 -8.5094" Properties=species:S:1:pos:R:3 comment="K2BaZr2 (PBE, optimized geometry)" e_form_mev_per_atom=910 sg="I4/mmm (139)" magnetic_moment_mub_per_atom=0.00 pbc="T T T"
K 2.5662 0.0000 4.2547
K 0.0000 2.5662 4.2547
Ba 0.0000 0.0000 0.0000
Zr 0.0000 0.0000 7.3212
Zr 0.0000 0.0000 9.6976

=====

2.
4
Lattice="-1.6596 3.3497 6.5408 1.6596 -3.3497 6.5408 1.6596 3.3497 -6.5408" Properties=species:S:1:pos:R:3 comment="KBaZr2 (PBE, optimized geometry)" e_form_mev_per_atom=773 sg="Imm2 (44)" magnetic_moment_mub_per_atom=0.00 pbc="T T T"
K 0.0000 0.0000 0.0000
Ba 0.0000 3.3497 2.7811
Zr 1.6596 0.0000 3.4665
Zr 0.0000 0.0000 5.7691

=====

3.
5
Lattice="-2.0152 2.0152 14.4612 2.0152 -2.0152 14.4612 2.0152 2.0152 -14.4612" Properties=species:S:1:pos:R:3 comment="K2BaZr2 (PBE, optimized geometry)" e_form_mev_per_atom=616 sg="I4/mmm (139)" magnetic_moment_mub_per_atom=0.00 pbc="T T T"
K 0.0000 0.0000 3.8236
K 0.0000 0.0000 25.0988
Ba 0.0000 0.0000 14.4612
Zr 2.0152 0.0000 7.2306
Zr 0.0000 2.0152 7.2306

=====

4.
4
Lattice="-2.3010 2.3010 6.1411 2.3010 -2.3010 6.1411 2.3010 2.3010 -6.1411" Properties=species:S:1:pos:R:3 comment="KBaZr2 (PBE, optimized geometry)" e_form_mev_per_atom=972 sg="I4/mmm (139)" magnetic_moment_mub_per_atom=0.17 pbc="T T T"
K 0.0000 0.0000 0.0000
Ba 0.0000 0.0000 6.1411
Zr 2.3010 0.0000 3.0705
Zr 0.0000 2.3010 3.0705

=====

5.
4
Lattice="4.5978 0.0000 0.0000 0.0000 4.5978 0.0000 0.0000 0.0000 6.1399" Properties=species:S:1:pos:R:3 comment="KBaZr2 (PBE, optimized geometry)" e_form_mev_per_atom=970 sg="P4/mmm (123)" magnetic_moment_mub_per_atom=0.22 pbc="T T T"
K 0.0000 0.0000 0.0000
Ba 2.2989 2.2989 0.0000
Zr 0.0000 2.2989 3.0700
Zr 2.2989 0.0000 3.0700

=====

6.
4
Lattice="1.7015 -2.8244 0.0000 1.7015 2.8244 0.0000 0.0000 0.0000 13.3620" Properties=species:S:1:pos:R:3 comment="KBaZr2 (PBE, optimized geometry)" e_form_mev_per_atom=847 sg="Cmmm (65)" magnetic_moment_mub_per_atom=0.00 pbc="T T T"
K 0.0000 0.0000 0.0000
Ba 0.0000 0.0000 6.6810
Zr 1.7015 0.0000 3.4981
Zr 1.7015 0.0000 9.8639

=====

7.
4
Lattice="6.3606 -1.6205 0.0000 6.3606 1.6205 0.0000 -0.3840 0.0000 7.5200" Properties=species:S:1:pos:R:3 comment="KBaZr2 (PBE, optimized geometry)" e_form_mev_per_atom=805 sg="C2/m (12)" magnetic_moment_mub_per_atom=0.00 pbc="T T T"
K 0.0000 0.0000 0.0000
Ba 6.1686 0.0000 3.7600
Zr 2.8788 0.0000 4.9767
Zr 9.4583 0.0000 2.5433

=====

8.
10
Lattice="10.9027 0.0000 0.0000 0.0000 10.9027 0.0000 0.0000 0.0000 3.5253" Properties=species:S:1:pos:R:3 comment="K2BaZr2 (PBE, optimized geometry)" e_form_mev_per_atom=980 sg="P4/mbm (127)" magnetic_moment_mub_per_atom=0.26 pbc="T T T"
K 2.1888 3.2626 0.0000
K 3.2626 8.7140 0.0000
K 7.6401 2.1888 0.0000
K 8.7140 7.6401 0.0000
Ba 0.0000 0.0000 1.7626
Ba 5.4514 5.4514 1.7626
Zr 0.9038 6.3551 1.7626
Zr 4.5476 0.9038 1.7626
Zr 6.3551 9.9990 1.7626
Zr 9.9990 4.5476 1.7626

=====

9.
6
Lattice="0.0000 5.4379 5.4379 5.4379 0.0000 5.4379 5.4379 5.4379 0.0000" Properties=species:S:1:pos:R:3 comment="K4BaZr (PBE, optimized geometry)" e_form_mev_per_atom=720 sg="F-43m (216)" magnetic_moment_mub_per_atom=0.61 pbc="T T T"
K 1.3417 1.3417 1.3417
K 4.0962 4.0962 1.3417
K 4.0962 1.3417 4.0962
K 1.3417 4.0962 4.0962
Ba 5.4379 5.4379 5.4379
Zr 8.1569 8.1569 8.1569

=====

10.
6
Lattice="0.0000 5.4711 5.4711 5.4711 0.0000 5.4711 5.4711 5.4711 0.0000" Properties=species:S:1:pos:R:3 comment="KBa4Zr (PBE, optimized geometry)" e_form_mev_per_atom=710 sg="F-43m (216)" magnetic_moment_mub_per_atom=0.72 pbc="T T T"
K 0.0000 0.0000 0.0000
Ba 4.1239 4.1239 4.1239
Ba 6.8183 6.8183 4.1239
Ba 6.8183 4.1239 6.8183
Ba 4.1239 6.8183 6.8183
Zr 8.2066 8.2066 8.2066

=====

11.
5
Lattice="6.3660 0.0000 0.0000 0.0000 6.3660 0.0000 0.0000 0.0000 6.3660" Properties=species:S:1:pos:R:3 comment="KBa3Zr (PBE, optimized geometry)" e_form_mev_per_atom=1244 sg="Pm-3m (221)" magnetic_moment_mub_per_atom=0.00 pbc="T T T"
K 0.0000 0.0000 0.0000
Ba 0.0000 0.0000 3.1830
Ba 0.0000 3.1830 0.0000
Ba 3.1830 0.0000 0.0000
Zr 3.1830 3.1830 3.1830

=====

12.
6
Lattice="4.0045 0.0000 0.0000 0.0118 4.0050 0.0000 0.0026 0.0320 17.5571" Properties=species:S:1:pos:R:3 comment="KBaZr (PBE, optimized geometry)" e_form_mev_per_atom=278 sg="P-1 (2)" magnetic_moment_mub_per_atom=0.00 pbc="T T T"
K 1.0028 0.9987 6.8556
K 3.0161 3.0382 10.7015
Ba 1.0068 1.0360 14.5046
Ba 3.0121 3.0009 3.0525
Zr 1.0041 1.0007 0.5379
Zr 3.0148 3.0362 17.0192

=====

13.
8
Lattice="-4.7416 4.7416 3.0571 4.7416 -4.7416 3.0571 4.7416 4.7416 -3.0571" Properties=species:S:1:pos:R:3 comment="KBaZr2 (PBE, optimized geometry)" e_form_mev_per_atom=1268 sg="I-42d (122)" magnetic_moment_mub_per_atom=0.00 pbc="T T T"
K 0.0000 0.0000 0.0000
K 0.0000 4.7416 1.5285
Ba 4.7416 0.0000 1.5285
Ba 0.0000 0.0000 3.0571
Zr 7.1124 2.3631 -0.7643
Zr 2.3631 2.3708 0.7643
Zr -2.3708 2.3785 2.2928
Zr 2.3785 2.3708 3.8213

=====

14.
5
Lattice="6.6009 0.0000 0.0000 0.0000 6.6009 0.0000 0.0000 0.0000 6.6009" Properties=species:S:1:pos:R:3 comment="KBa3Zr (PBE, optimized geometry)" e_form_mev_per_atom=571 sg="Pm-3m (221)" magnetic_moment_mub_per_atom=0.27 pbc="T T T"
K 0.0000 0.0000 0.0000
Ba 0.0000 3.3005 3.3005
Ba 3.3005 0.0000 3.3005
Ba 3.3005 3.3005 0.0000
Zr 3.3005 3.3005 3.3005